(1)
VAsSe2Br: optimized geometry, GGA-PBE.

Structure (POSCAR):
```
VAsSe2Br
1.0
-1.020 2.996 -3.964
-1.323 -4.064 -2.731
-4.750 0.481 1.586
Se Br V As
2 1 1 1
direct
0.500 0.000 0.000
0.000 0.500 0.000
0.000 0.000 0.000
0.500 0.500 0.500
0.000 0.000 0.500
```

Results
Volume, Å³/cell: 129.43
Crystal system: tetragonal

***

(2)
VAsSe2Br: optimized geometry, GGA-PBE.

Structure (POSCAR):
```
VAsSe2Br
1.0
-2.625 -1.249 3.952
4.119 -0.266 2.652
-0.470 4.829 1.214
Se Br As V
2 1 1 1
direct
0.500 0.000 0.000
0.000 0.500 0.000
0.000 0.000 0.500
0.500 0.500 0.500
0.000 0.000 0.000
```

Results
Volume, Å³/cell: 120.38
Crystal system: tetragonal

***

Quick one: most stable of them? (2)

***

(1)
VAsSe2Br: optimized geometry, GGA-PBE.

Structure (POSCAR):
```
VAsSe2Br
1.0
-3.797 -3.432 -0.392
0.040 -0.626 5.094
-3.388 3.694 0.481
V Se Br As
1 2 1 1
direct
0.500 0.500 0.500
0.500 0.000 0.000
0.000 0.500 0.000
0.000 0.000 0.500
0.000 0.000 0.000
```

Results
Volume, Å³/cell: 132.65
Crystal system: tetragonal

***

(2)
VAsSe2Br: optimized geometry, GGA-PBE.

Structure (POSCAR):
```
VAsSe2Br
1.0
4.689 0.000 0.000
0.000 4.689 0.000
0.000 0.000 5.137
Se V Br As
2 1 1 1
direct
0.000 0.500 0.000
0.500 0.000 0.000
0.000 0.000 0.000
0.500 0.500 0.500
0.000 0.000 0.500
```

Results
Volume, Å³/cell: 112.94
Crystal system: tetragonal

***

Quick one: most stable of them? (2)

***

(1)
AsWSe2Br: optimized geometry, GGA-PBE.

Structure (POSCAR):
```
AsWSe2Br
1.0
-1.705 2.862 3.535
3.269 -1.854 3.078
3.333 3.645 -1.344
Se As Br W
2 1 1 1
direct
0.500 0.000 0.000
0.000 0.500 0.000
0.000 0.000 0.500
0.500 0.500 0.500
0.000 0.000 0.000
```

Results
Volume, Å³/cell: 120.78
Crystal system: tetragonal

***

(2)
AsWSe2Br: optimized geometry, GGA-PBE.

Structure (POSCAR):
```
AsWSe2Br
1.0
-2.486 1.438 -4.254
1.917 -4.058 -2.492
-3.902 -2.686 1.372
Se Br As W
2 1 1 1
direct
0.000 0.500 0.000
0.500 0.000 0.000
0.000 0.000 0.500
0.000 0.000 0.000
0.500 0.500 0.500
```

Results
Volume, Å³/cell: 129.94
Crystal system: tetragonal

***

Quick one: most stable of them? (1)

***

(1)
AsWSe2Br: optimized geometry, GGA-PBE.

Structure (POSCAR):
```
AsWSe2Br
1.0
4.941 0.000 0.000
0.000 4.941 0.000
0.000 0.000 5.177
W As Se Br
1 1 2 1
direct
0.000 0.000 0.000
0.500 0.500 0.500
0.500 0.000 0.000
0.000 0.500 0.000
0.000 0.000 0.500
```

Results
Volume, Å³/cell: 126.41
Crystal system: tetragonal

***

(2)
AsWSe2Br: optimized geometry, GGA-PBE.

Structure (POSCAR):
```
AsWSe2Br
1.0
5.064 0.000 0.000
0.000 5.064 0.000
0.000 0.000 4.992
W Se Br As
1 2 1 1
direct
0.500 0.500 0.500
0.500 0.000 0.000
0.000 0.500 0.000
0.000 0.000 0.000
0.000 0.000 0.500
```

Results
Volume, Å³/cell: 127.99
Crystal system: tetragonal

***

Quick one: most stable of them? (1)

***

(1)
YAsSeBr2: optimized geometry, GGA-PBE.

Structure (POSCAR):
```
YAsSeBr2
1.0
-2.732 4.353 0.448
-0.762 -0.993 5.005
4.481 2.687 1.215
As Br Y Se
1 2 1 1
direct
0.000 0.000 0.000
0.000 0.500 0.000
0.500 0.000 0.000
0.500 0.500 0.500
0.000 0.000 0.500
```

Results
Volume, Å³/cell: 142.76
Crystal system: tetragonal

***

(2)
YAsSeBr2: optimized geometry, GGA-PBE.

Structure (POSCAR):
```
YAsSeBr2
1.0
5.174 0.000 0.000
0.000 5.174 0.000
0.000 0.000 5.332
Br Y As Se
2 1 1 1
direct
0.000 0.500 0.000
0.500 0.000 0.000
0.500 0.500 0.500
0.000 0.000 0.500
0.000 0.000 0.000
```

Results
Volume, Å³/cell: 142.77
Crystal system: tetragonal

***

(3)
YAsSeBr2: optimized geometry, GGA-PBE.

Structure (POSCAR):
```
YAsSeBr2
1.0
-5.077 -0.163 -2.061
-1.704 -2.764 4.417
-1.221 4.936 2.618
As Y Se Br
1 1 1 2
direct
0.500 0.500 0.500
0.000 0.000 0.000
0.000 0.000 0.500
0.500 0.000 0.000
0.000 0.500 0.000
```

Results
Volume, Å³/cell: 171.87
Crystal system: tetragonal

***

(4)
YAsSeBr2: optimized geometry, GGA-PBE.

Structure (POSCAR):
```
YAsSeBr2
1.0
-3.216 1.057 4.166
-3.335 -3.897 -1.586
3.060 -3.993 3.376
As Y Br Se
1 1 2 1
direct
0.000 0.000 0.500
0.000 0.000 0.000
0.500 0.000 0.000
0.000 0.500 0.000
0.500 0.500 0.500
```

Results
Volume, Å³/cell: 174.59
Crystal system: tetragonal

***

Quick one: most stable of them? (3)

***

(1)
SiAsBr2: optimized geometry, GGA-PBE.

Structure (POSCAR):
```
SiAsBr2
1.0
-0.565 -0.820 -5.638
3.980 -3.885 -1.360
-4.851 1.010 2.868
Br As Si
2 1 1
direct
0.012 0.012 0.000
0.488 0.488 0.000
0.750 0.250 0.500
0.250 0.750 0.500
```

Results
Volume, Å³/cell: 93.06
Crystal system: orthorhombic

***

(2)
SiAsBr2: optimized geometry, GGA-PBE.

Structure (POSCAR):
```
SiAsBr2
1.0
8.460 -0.012 -0.007
7.606 3.704 -0.007
7.606 1.748 3.266
Br As Si
2 1 1
direct
0.023 0.023 0.023
0.223 0.223 0.223
0.772 0.772 0.772
0.482 0.482 0.482
```

Results
Volume, Å³/cell: 102.89
Crystal system: trigonal

***

Quick one: most stable of them? (2)